ZnWO3 | PBE+U | relaxed

Lattice parameters (Å, degrees): 3.793 3.793 3.793 90.00 90.00 90.00
Fractional coordinates of all 5 atoms:
Zn1 0.000 0.000 0.000
W1 0.500 0.500 0.500
O1 0.000 0.000 0.500
O2 0.000 0.500 0.000
O3 0.500 0.000 0.000

The density of states at the Fermi level comes out at 2.7 states/eV/cell. The total energy comes out at -24.55 eV/f.u. Its space group is Pm-3m.